(1)
Density functional theory data (GGA-PBE) for a relaxed NaPrGe crystal.

abc: 4.571 5.923 7.330
angles: 72.29 71.84 67.33
Element x y z (fractional)
Na  0.883  0.461  0.651
Na  0.253  0.881  0.491
Ge  0.935  0.804  0.203
Ge  0.201  0.538  0.938
Pr  0.489  0.984  0.915
Pr  0.646  0.358  0.227

Computed properties:
VASP energy   -3.93 eV per atom
Crystal system   monoclinic
Formation energy from the elements   -0.3592 eV per atom
Total magnetic moment   0.00 μB per formula unit

---

(2)
Density functional theory data (GGA-PBE) for a relaxed NaPr2Ge crystal.

abc: 4.329 5.046 5.046
angles: 90.00 90.00 90.00
Element x y z (fractional)
Na  0.500  0.500  0.500
Ge  0.500  0.000  0.000
Pr  0.000  0.000  0.500
Pr  0.000  0.500  0.000

Computed properties:
VASP energy   -4.12 eV per atom
Crystal system   tetragonal
Formation energy from the elements   -0.2483 eV per atom
Total magnetic moment   0.00 μB per formula unit

---

(3)
Density functional theory data (GGA-PBE) for a relaxed NaPrGe crystal.

abc: 5.012 5.012 5.012
angles: 60.00 60.00 60.00
Element x y z (fractional)
Pr  0.500  0.500  0.500
Na  0.000  0.000  0.000
Ge  0.250  0.250  0.250

Computed properties:
VASP energy   -3.95 eV per atom
Crystal system   cubic
Formation energy from the elements   -0.3819 eV per atom
Total magnetic moment   0.00 μB per formula unit

---

(4)
Density functional theory data (GGA-PBE) for a relaxed NaPr2Ge crystal.

abc: 4.328 4.328 9.239
angles: 76.45 76.45 60.00
Element x y z (fractional)
Pr  0.274  0.274  0.179
Pr  0.726  0.726  0.821
Ge  0.000  0.000  0.000
Na  0.500  0.500  0.500

Computed properties:
VASP energy   -4.13 eV per atom
Crystal system   trigonal
Formation energy from the elements   -0.2597 eV per atom
Total magnetic moment   0.00 μB per formula unit

---

(5)
Density functional theory data (GGA-PBE) for a relaxed NaPr2Ge3Pt4 crystal.

abc: 4.343 4.343 10.611
angles: 90.00 90.00 90.00
Element x y z (fractional)
Ge  0.000  0.000  0.500
Ge  0.500  0.000  0.873
Ge  0.000  0.500  0.127
Na  0.500  0.500  0.500
Pr  0.000  0.500  0.757
Pr  0.500  0.000  0.243
Pt  0.000  0.500  0.357
Pt  0.500  0.500  0.000
Pt  0.000  0.000  0.000
Pt  0.500  0.000  0.643

Computed properties:
VASP energy   -5.69 eV per atom
Crystal system   tetragonal
Formation energy from the elements   -0.8026 eV per atom
Total magnetic moment   0.00 μB per formula unit

---

(6)
Density functional theory data (GGA-PBE) for a relaxed NaPrGeS4 crystal.

abc: 6.655 6.690 8.117
angles: 90.00 105.33 90.00
Element x y z (fractional)
S  0.989  0.505  0.738
S  0.412  0.750  0.581
S  0.011  0.495  0.262
S  0.559  0.250  0.864
S  0.011  0.005  0.262
S  0.989  0.995  0.738
S  0.588  0.250  0.419
S  0.441  0.750  0.136
Pr  0.227  0.250  0.557
Pr  0.773  0.750  0.443
Ge  0.235  0.750  0.306
Ge  0.765  0.250  0.694
Na  0.754  0.750  0.939
Na  0.246  0.250  0.061

Computed properties:
VASP energy   -5.06 eV per atom
Formation energy from raw total energies   -1168 meV/atom
Crystal system   monoclinic
Total magnetic moment   0.00 μB per formula unit

---

(7)
Density functional theory data (GGA-PBE) for a relaxed NaPrZn2Ge2 crystal.

abc: 4.342 4.342 7.977
angles: 90.00 90.00 120.00
Element x y z (fractional)
Ge  0.667  0.333  0.739
Ge  0.333  0.667  0.261
Pr  0.000  0.000  0.500
Zn  0.333  0.667  0.765
Zn  0.667  0.333  0.235
Na  0.000  0.000  0.000

Computed properties:
VASP energy   -3.38 eV per atom
Crystal system   trigonal
Formation energy from the elements   -0.4007 eV per atom
Total magnetic moment   0.00 μB per formula unit

---

(8)
Density functional theory data (GGA-PBE) for a relaxed NaPrZnGe crystal.

abc: 5.106 5.106 5.106
angles: 60.00 60.00 60.00
Element x y z (fractional)
Pr  0.250  0.250  0.250
Ge  0.500  0.500  0.500
Zn  0.000  0.000  0.000
Na  0.750  0.750  0.750

Computed properties:
VASP energy   -3.30 eV per atom
Crystal system   cubic
Formation energy from the elements   -0.3032 eV per atom
Total magnetic moment   0.00 μB per formula unit

---

(9)
Density functional theory data (GGA-PBE) for a relaxed NaGePt2 crystal.

abc: 3.945 3.945 9.372
angles: 90.00 90.00 90.00
Element x y z (fractional)
Pt  0.500  0.500  0.500
Pt  0.000  0.000  0.500
Pt  0.500  0.000  0.927
Pt  0.000  0.500  0.073
Na  0.500  0.000  0.221
Na  0.000  0.500  0.779
Ge  0.000  0.500  0.327
Ge  0.500  0.000  0.673

Computed properties:
VASP energy   -4.78 eV per atom
Crystal system   tetragonal
Formation energy from the elements   -0.2728 eV per atom
Total magnetic moment   0.00 μB per formula unit

---

(10)
Density functional theory data (GGA-PBE) for a relaxed NaGe3Pt2 crystal.

abc: 6.567 7.628 6.964
angles: 123.21 118.13 90.00
Element x y z (fractional)
Na  0.458  0.250  0.500
Na  0.542  0.750  0.500
Pt  0.245  0.444  0.888
Pt  0.755  0.556  0.112
Pt  0.142  0.944  0.888
Pt  0.858  0.056  0.112
Ge  0.500  0.796  0.000
Ge  0.500  0.204  0.000
Ge  0.000  0.500  0.500
Ge  0.000  0.000  0.500
Ge  0.000  0.296  0.000
Ge  0.000  0.704  0.000

Computed properties:
ΔE to the lowest computed polymorph   0.151 eV/atom
VASP energy   -4.74 eV per atom
Crystal system   orthorhombic
Formation energy from the elements   -0.1965 eV per atom
Total magnetic moment   0.00 μB per formula unit

---

(11)
Density functional theory data (GGA-PBE) for a relaxed Na2Ge3Pt2 crystal.

abc: 4.134 5.645 7.234
angles: 116.66 90.00 111.48
Element x y z (fractional)
Ge  0.631  0.261  0.456
Ge  0.369  0.739  0.544
Ge  0.500  0.000  0.000
Pt  0.884  0.768  0.779
Pt  0.116  0.232  0.221
Na  0.161  0.322  0.787
Na  0.839  0.678  0.213

Computed properties:
VASP energy   -4.49 eV per atom
Crystal system   monoclinic
Formation energy from the elements   -0.4041 eV per atom
Total magnetic moment   0.00 μB per formula unit

---

(12)
Density functional theory data (GGA-PBE) for a relaxed NaGePt3 crystal.

abc: 4.655 4.655 4.655
angles: 90.00 90.00 90.00
Element x y z (fractional)
Na  0.000  0.000  0.000
Pt  0.500  0.000  0.000
Pt  0.000  0.000  0.500
Pt  0.000  0.500  0.000
Ge  0.500  0.500  0.500

Computed properties:
VASP energy   -3.49 eV per atom
Crystal system   cubic
Formation energy from the elements   1.3229 eV per atom
Total magnetic moment   0.00 μB per formula unit

---

(13)
Density functional theory data (GGA-PBE) for a relaxed Na2Ge6Pt crystal.

abc: 5.819 5.927 5.927
angles: 60.01 90.02 90.02
Element x y z (fractional)
Ge  0.327  0.350  0.825
Ge  0.673  0.650  0.175
Ge  0.673  0.175  0.650
Ge  0.329  0.827  0.827
Ge  0.671  0.173  0.173
Ge  0.327  0.825  0.350
Na  0.135  0.334  0.334
Na  0.865  0.666  0.666
Pt  0.000  0.000  0.000

Computed properties:
VASP energy   -4.19 eV per atom
Crystal system   monoclinic
Formation energy from the elements   -0.1496 eV per atom
Total magnetic moment   0.00 μB per formula unit

---

(14)
Density functional theory data (GGA-PBE) for a relaxed NaGe4Pt2 crystal.

abc: 4.282 6.955 17.079
angles: 90.00 90.00 90.00
Element x y z (fractional)
Pt  0.250  0.748  0.029
Pt  0.750  0.252  0.971
Pt  0.250  0.752  0.529
Pt  0.750  0.248  0.471
Pt  0.250  0.957  0.788
Pt  0.750  0.457  0.712
Pt  0.750  0.043  0.212
Pt  0.250  0.543  0.288
Ge  0.250  0.041  0.937
Ge  0.250  0.246  0.190
Ge  0.250  0.459  0.437
Ge  0.250  0.674  0.684
Ge  0.250  0.126  0.539
Ge  0.250  0.826  0.184
Ge  0.750  0.754  0.810
Ge  0.250  0.254  0.690
Ge  0.250  0.374  0.039
Ge  0.750  0.326  0.316
Ge  0.750  0.626  0.961
Ge  0.750  0.174  0.816
Ge  0.750  0.959  0.063
Ge  0.750  0.746  0.310
Ge  0.750  0.541  0.563
Ge  0.750  0.874  0.461
Na  0.250  0.030  0.356
Na  0.750  0.530  0.144
Na  0.750  0.970  0.644
Na  0.250  0.470  0.856

Computed properties:
VASP energy   -4.93 eV per atom
Crystal system   orthorhombic
Formation energy from the elements   -0.3814 eV per atom
Total magnetic moment   0.00 μB per formula unit

---

(15)
Density functional theory data (GGA-PBE) for a relaxed Na3Ge2Pt2 crystal.

abc: 6.004 7.820 13.208
angles: 90.00 90.00 90.00
Element x y z (fractional)
Na  0.124  0.616  0.400
Na  0.876  0.116  0.400
Na  0.124  0.884  0.600
Na  0.648  0.714  0.750
Na  0.352  0.286  0.250
Na  0.876  0.384  0.900
Na  0.124  0.616  0.100
Na  0.124  0.884  0.900
Na  0.876  0.384  0.600
Na  0.352  0.214  0.750
Na  0.876  0.116  0.100
Na  0.648  0.786  0.250
Ge  0.434  0.250  0.000
Ge  0.171  0.927  0.250
Ge  0.829  0.427  0.250
Ge  0.171  0.573  0.750
Ge  0.434  0.250  0.500
Ge  0.566  0.750  0.000
Ge  0.566  0.750  0.500
Ge  0.829  0.073  0.750
Pt  0.362  0.981  0.093
Pt  0.362  0.519  0.593
Pt  0.638  0.481  0.093
Pt  0.362  0.981  0.407
Pt  0.362  0.519  0.907
Pt  0.638  0.019  0.907
Pt  0.638  0.481  0.407
Pt  0.638  0.019  0.593

Computed properties:
VASP energy   -4.05 eV per atom
Crystal system   orthorhombic
Formation energy from the elements   -0.4351 eV per atom
Total magnetic moment   0.00 μB per formula unit

---

(16)
Density functional theory data (GGA-PBE) for a relaxed Na3GePt crystal.

abc: 6.914 6.914 7.240
angles: 110.95 116.86 98.77
Element x y z (fractional)
Ge  0.273  0.921  0.194
Ge  0.727  0.079  0.806
Na  0.708  0.458  0.166
Na  0.292  0.542  0.834
Na  0.243  0.410  0.270
Na  0.757  0.590  0.730
Na  0.860  0.027  0.270
Na  0.140  0.973  0.730
Pt  0.412  0.181  0.592
Pt  0.588  0.819  0.408

Computed properties:
ΔE to the lowest computed polymorph   0.000 eV/atom
VASP energy   -3.11 eV per atom
Crystal system   monoclinic
Formation energy from the elements   -0.1869 eV per atom
Total magnetic moment   0.00 μB per formula unit

---

(17)
Density functional theory data (GGA-PBE) for a relaxed NaGe12Pt4 crystal.

abc: 7.577 7.577 7.577
angles: 109.47 109.47 109.47
Element x y z (fractional)
Ge  0.352  0.501  0.149
Ge  0.851  0.352  0.203
Ge  0.851  0.648  0.499
Ge  0.499  0.851  0.648
Ge  0.501  0.149  0.352
Ge  0.797  0.149  0.648
Ge  0.648  0.797  0.149
Ge  0.648  0.499  0.851
Ge  0.352  0.203  0.851
Ge  0.203  0.851  0.352
Ge  0.149  0.648  0.797
Ge  0.149  0.352  0.501
Pt  0.500  0.000  0.000
Pt  0.000  0.000  0.500
Pt  0.000  0.500  0.000
Pt  0.500  0.500  0.500
Na  0.000  0.000  0.000

Computed properties:
VASP energy   -5.01 eV per atom
Crystal system   cubic
Formation energy from the elements   -0.2516 eV per atom
Total magnetic moment   0.00 μB per formula unit

---

(18)
Density functional theory data (GGA-PBE) for a relaxed Na2Ge4Pt3 crystal.

abc: 5.684 5.684 6.816
angles: 101.95 101.95 120.23
Element x y z (fractional)
Na  0.377  0.377  0.754
Na  0.623  0.623  0.246
Pt  0.000  0.000  0.000
Pt  0.000  0.500  0.000
Pt  0.500  0.000  0.000
Ge  0.668  0.011  0.679
Ge  0.011  0.668  0.679
Ge  0.332  0.989  0.321
Ge  0.989  0.332  0.321

Computed properties:
VASP energy   -4.70 eV per atom
Crystal system   orthorhombic
Formation energy from the elements   -0.3412 eV per atom
Total magnetic moment   0.00 μB per formula unit

---

(19)
Density functional theory data (GGA-PBE) for a relaxed Na6GePt2 crystal.

abc: 5.123 5.123 9.950
angles: 75.08 75.08 60.00
Element x y z (fractional)
Pt  0.917  0.917  0.250
Pt  0.083  0.083  0.750
Na  0.702  0.702  0.894
Na  0.298  0.298  0.106
Na  0.810  0.810  0.571
Na  0.577  0.577  0.268
Na  0.423  0.423  0.732
Na  0.190  0.190  0.429
Ge  0.000  0.000  0.000

Computed properties:
VASP energy   -2.91 eV per atom
Crystal system   trigonal
Formation energy from the elements   -0.1797 eV per atom
Total magnetic moment   0.00 μB per formula unit

---

(20)
Density functional theory data (GGA-PBE) for a relaxed Na2Ge4Pt5 crystal.

abc: 5.575 5.703 8.198
angles: 80.43 70.12 60.74
Element x y z (fractional)
Pt  0.500  0.000  0.000
Pt  0.000  0.500  0.000
Pt  0.250  0.500  0.500
Pt  0.750  0.500  0.500
Pt  0.500  0.500  0.000
Ge  0.530  0.682  0.257
Ge  0.788  0.682  0.743
Ge  0.212  0.318  0.257
Ge  0.470  0.318  0.743
Na  0.118  0.000  0.763
Na  0.882  0.000  0.237

Computed properties:
VASP energy   -5.11 eV per atom
Crystal system   orthorhombic
Formation energy from the elements   -0.4409 eV per atom
Total magnetic moment   0.00 μB per formula unit